SrCrNF2 | GGA+U | relaxed

Lattice parameters (Å, degrees): 4.520 4.520 5.256 90.00 90.00 90.00
Site moments in Bohr magnetons follow the coordinates.
Atoms (fractional coordinates):
F 0.500 0.000 0.000  0.01
F 0.000 0.500 0.000  0.01
Cr 0.500 0.500 0.500  4.41
Sr 0.000 0.000 0.000  -0.04
N 0.000 0.000 0.500  -1.20

* volume: 107.41 Å³/cell
* total DFT energy (no corrections): -5.21 eV/atom